# MgV2O6

A relaxed MgV2O6 crystal (PBE with a Hubbard U, Alexandria).

Cell lengths 5.2495, 4.8252, 8.3391 Å; angles 90.00, 90.07, 90.00 degrees
Closest atoms and distances in Å follow each position.
Positions (direct):
Mg1 0.2460 0.0000 0.2483  5 O 2.02-2.07
Mg2 0.7540 0.5000 0.7517  5 O 2.02-2.07
V1 0.2507 0.5396 0.4830  3 O 1.68-1.79
V2 0.2508 0.6309 0.9438  3 O 1.65-1.82
V3 0.7493 0.0396 0.5170  3 O 1.68-1.79
V4 0.7492 0.1309 0.0562  3 O 1.65-1.82
O1 0.0094 0.8837 0.0626  2 V 1.81-2.02
O2 0.0112 0.8593 0.4285  1 V 1.79
O3 0.2487 0.7446 0.7577  1 V 1.65
O4 0.2508 0.4111 0.2958  1 V 1.68
O5 0.4840 0.8883 0.0633  2 V 1.82-2.01
O6 0.4849 0.8627 0.4285  1 V 1.79
O7 0.5151 0.3627 0.5715  1 V 1.79
O8 0.5160 0.3883 0.9367  2 V 1.82-2.01
O9 0.7492 0.9111 0.7042  1 V 1.68
O10 0.7513 0.2446 0.2423  1 V 1.65
O11 0.9888 0.3593 0.5715  1 V 1.79
O12 0.9906 0.3837 0.9374  2 V 1.81-2.02

Summary:
E_tot: -7.11 eV/atom